This record from Alexandria describes crystalline La2Pr4Ho at its relaxed geometry. The functional is GGA-PBE.

abc: 6.773 8.945 9.090
angles: 87.09 81.55 67.87
Fractional positions:
La: 0.000 0.000 0.000
La: 0.030 0.343 0.785
La: 0.291 0.421 0.463
La: 0.601 0.581 0.604
Pr: 0.221 0.583 0.962
Pr: 0.318 0.192 0.146
Pr: 0.406 0.000 0.568
Pr: 0.607 0.806 0.932
Pr: 0.690 0.418 0.114
Pr: 0.855 0.689 0.285
Pr: 0.889 0.187 0.427
Pr: 0.991 0.809 0.638
Ho: 0.303 0.795 0.284
Ho: 0.593 0.213 0.787

Values from the calculation:
Distance to the lowest polymorph of the same formula ... 78.4 meV per atom
M_tot ... 0.00 μB per formula unit